Entry from Alexandria: an optimized crystal structure of RbLiWN3 (PBE).

Properties
DOS(E_F): 6.946 states/eV/cell
volume: 181 Å³/cell

abc: 6.218 6.218 5.587
angles: 90.00 90.00 122.86
Fractional coordinates of all 12 atoms:
Rb: 0.226 0.774 0.750
Rb: 0.774 0.226 0.250
Li: 0.069 0.931 0.250
Li: 0.931 0.069 0.750
W: 0.446 0.554 0.250
W: 0.554 0.446 0.750
N: 0.274 0.274 0.000
N: 0.274 0.274 0.500
N: 0.281 0.719 0.250
N: 0.719 0.281 0.750
N: 0.726 0.726 0.000
N: 0.726 0.726 0.500



Entry from Alexandria: an optimized crystal structure of BeSi2Hg (PBE).

Properties
DOS(E_F): 1.213 states/eV/cell
distance to the lowest polymorph of the same formula: 0.1010 eV/atom
volume: 65 Å³/cell

abc: 5.632 5.632 3.584
angles: 108.22 108.22 126.89
Fractional coordinates of all 4 atoms:
Be: 0.000 0.000 0.000
Si: 0.000 0.500 0.000
Si: 0.500 0.000 0.000
Hg: 0.500 0.500 0.000



Computed raw formation energy, in the same sequence as the records: -0.272; 0.536 eV/atom.